NiSnO3: optimized geometry, GGA+U.

Total DFT energy (no corrections), eV/atom: -5.68
Space group: No. 148

abc: 5.6261 5.6261 5.6261
angles: 56.37 56.37 56.37
With the nearest neighbours (Å) after each atom.
Positions (direct):
Ni 0.1469 0.1469 0.1469  6 O 2.08-2.17
Ni 0.8531 0.8531 0.8531  6 O 2.08-2.17
Sn 0.3539 0.3539 0.3539  6 O 2.06-2.16
Sn 0.6461 0.6461 0.6461  6 O 2.06-2.16
O 0.0503 0.4504 0.7476  2 Sn 2.06-2.16, 2 Ni 2.08-2.17
O 0.2524 0.9497 0.5496  2 Sn 2.06-2.16, 2 Ni 2.08-2.17
O 0.4504 0.7476 0.0503  2 Sn 2.06-2.16, 2 Ni 2.08-2.17
O 0.5496 0.2524 0.9497  2 Sn 2.06-2.16, 2 Ni 2.08-2.17
O 0.7476 0.0503 0.4504  2 Sn 2.06-2.16, 2 Ni 2.08-2.17
O 0.9497 0.5496 0.2524  2 Sn 2.06-2.16, 2 Ni 2.08-2.17